## Cs2RbLiAu (GGA-PBE)

Data for Cs2RbLiAu after structural relaxation.

Properties
**Excess energy over the best structure of this formula in the dataset**: 0.083 eV per atom
**Theoretical density**: 3.1 g/cm³
**Energy relative to the elements**: 0.08 eV/f.u.

Lattice parameters (Å, degrees): 7.6449 7.6449 5.0944 90.00 90.00 90.00
Fractional positions:
Li 0.0000 0.0000 0.0000
Rb 0.5000 0.5000 0.5000
Cs 0.5000 0.0000 0.0000
Cs 0.0000 0.5000 0.0000
Au 0.0000 0.0000 0.5000

---

## BeAlAg2 (GGA-PBE)

Data for BeAlAg2 after structural relaxation.

Properties
**Excess energy over the best structure of this formula in the dataset**: 0.028 eV per atom
**Theoretical density**: 7.1 g/cm³
**Energy relative to the elements**: 0.37 eV/f.u.

Lattice parameters (Å, degrees): 4.9903 4.9903 4.5071 70.30 70.30 34.21
Fractional positions:
Ag 0.7558 0.7558 0.7177
Be 0.2478 0.2478 0.2202
Al 0.5196 0.5196 0.5102
Ag 0.9768 0.9768 0.0519

---

## Zr5ScTl3 (GGA-PBE)

Data for Zr5ScTl3 after structural relaxation.

Properties
**Excess energy over the best structure of this formula in the dataset**: 0.000 eV per atom
**Theoretical density**: 9.0 g/cm³
**Energy relative to the elements**: -0.90 eV/f.u.

Lattice parameters (Å, degrees): 6.1194 8.8199 8.8200 120.00 90.00 90.00
Fractional positions:
Zr 0.0000 0.6667 0.3333
Tl 0.2500 0.0000 0.3195
Tl 0.7500 0.6805 0.0000
Zr 0.2500 0.3488 0.3488
Zr 0.7500 0.3488 0.0000
Tl 0.2500 0.3195 0.0000
Tl 0.7500 0.3195 0.3195
Sc 0.0000 0.0000 0.0000
Sc 0.5000 0.0000 0.0000
Zr 0.5000 0.6667 0.3333
Zr 0.0000 0.3333 0.6667
Zr 0.7500 0.6512 0.6512
Tl 0.7500 0.0000 0.6805
Zr 0.7500 0.0000 0.3488
Zr 0.2500 0.0000 0.6512
Tl 0.2500 0.6805 0.6805
Zr 0.2500 0.6512 0.0000
Zr 0.5000 0.3333 0.6667

---

## MgNiGe2 (GGA-PBE)

Data for MgNiGe2 after structural relaxation.

Properties
**Theoretical density**: 5.5 g/cm³
**Energy relative to the elements**: -0.69 eV/f.u.

Lattice parameters (Å, degrees): 4.0341 4.0341 5.3974 68.06 68.06 60.00
Fractional positions:
Mg 0.4930 0.4930 0.5209
Ge 0.0570 0.0570 0.8291
Ge 0.2736 0.2736 0.1793
Ni 0.6764 0.6764 0.9707

---

## KSb2As (GGA-PBE)

Data for KSb2As after structural relaxation.

Properties
**Uncorrected formation energy**: -0.13 eV per atom
**Theoretical density**: 4.7 g/cm³

Lattice parameters (Å, degrees): 5.9470 5.9470 6.0921 71.89 71.89 38.21
Fractional positions:
As 0.2500 0.2500 0.2500
Sb 0.5459 0.5459 0.3868
Sb 0.9541 0.9541 0.1132
K 0.7500 0.7500 0.7500

---

## Al2TePd9 (GGA-PBE)

Data for Al2TePd9 after structural relaxation.

Properties
**Uncorrected formation energy**: -0.48 eV per atom
**Theoretical density**: 10.1 g/cm³

Lattice parameters (Å, degrees): 3.9805 3.9805 11.8356 90.00 90.00 90.00
Fractional positions:
Pd 0.0000 0.5000 0.1780
Al 0.0000 0.0000 0.3437
Pd 0.5000 0.0000 0.5000
Pd 0.0000 0.5000 0.5000
Pd 0.5000 0.5000 0.0000
Te 0.0000 0.0000 0.0000
Pd 0.5000 0.0000 0.8220
Pd 0.5000 0.0000 0.1780
Pd 0.5000 0.5000 0.6622
Pd 0.5000 0.5000 0.3378
Pd 0.0000 0.5000 0.8220
Al 0.0000 0.0000 0.6563

---

## HoLuHf (GGA-PBE)

Data for HoLuHf after structural relaxation.

Properties
**Excess energy over the best structure of this formula in the dataset**: 0.087 eV per atom
**Theoretical density**: 10.6 g/cm³
**Energy relative to the elements**: 0.57 eV/f.u.

Lattice parameters (Å, degrees): 3.3640 5.2682 5.2682 120.00 90.00 90.00
Fractional positions:
Ho 0.6666 0.6667 0.3333
Hf 0.1665 0.3333 0.6667
Lu 0.1668 0.0000 0.0000

---

## Rb2PuGeTe4 (GGA-PBE)

Data for Rb2PuGeTe4 after structural relaxation.

Properties
**Uncorrected formation energy**: -0.72 eV per atom
**Theoretical density**: 5.5 g/cm³

Lattice parameters (Å, degrees): 9.4585 9.4585 9.4517 119.98 119.98 89.68
Site moments in Bohr magnetons follow the coordinates.
Fractional positions:
Te 0.2326 0.6916 0.4621  -0.14
Rb 0.5000 0.0000 0.0000  -0.01
Te 0.7716 0.7284 0.5397  -0.14
Ge 0.0000 0.0000 0.0000  -0.01
Rb 0.5000 0.0000 0.5000  -0.01
Rb 0.0000 0.0000 0.5000  -0.01
Rb 0.5000 0.5000 0.0000  -0.01
Te 0.2284 0.2716 0.4603  -0.14
Ge 0.5000 0.5000 0.5000  -0.01
Te 0.7716 0.7284 0.9603  -0.14
Te 0.8084 0.2674 0.0379  -0.14
Te 0.7674 0.3084 0.5379  -0.14
Te 0.1916 0.7326 0.9621  -0.14
Pu 0.0000 0.5000 0.0000  4.96
Te 0.2284 0.2716 0.0397  -0.14
Pu 0.0000 0.5000 0.5000  4.96

---

## KNb3Tc (GGA-PBE)

Data for KNb3Tc after structural relaxation.

Properties
**Excess energy over the best structure of this formula in the dataset**: 0.000 eV per atom
**Theoretical density**: 5.6 g/cm³
**Energy relative to the elements**: 6.01 eV/f.u.

Lattice parameters (Å, degrees): 4.9658 4.9658 4.9658 90.00 90.00 90.00
Fractional positions:
Nb 0.0000 0.0000 0.5000
Nb 0.0000 0.5000 0.0000
Nb 0.5000 0.0000 0.0000
Tc 0.0000 0.0000 0.0000
K 0.5000 0.5000 0.5000

---

## Gd3Mn5S12 (GGA-PBE)

Data for Gd3Mn5S12 after structural relaxation.

Properties
**Uncorrected formation energy**: -1.06 eV per atom
**Theoretical density**: 4.6 g/cm³

Lattice parameters (Å, degrees): 12.8561 12.8561 12.8561 109.47 109.47 109.47
Site moments in Bohr magnetons follow the coordinates.
Fractional positions:
Mn 0.0000 0.5000 0.5000  2.49
Mn 0.0000 0.0000 0.5000  2.49
S 0.1733 0.0853 0.7019  -0.01
S 0.5853 0.8834 0.4119  -0.01
S 0.9714 0.5881 0.1733  -0.01
Mn 0.5000 0.0000 0.0000  2.49
Gd 0.1250 0.8750 0.7500  -6.96
S 0.9147 0.8267 0.7981  -0.01
S 0.6733 0.4714 0.5881  -0.01
S 0.9147 0.0881 0.6166  -0.01
S 0.5881 0.6166 0.4147  -0.01
S 0.8834 0.2981 0.4714  -0.01
S 0.5286 0.2019 0.1166  -0.01
S 0.3834 0.4119 0.0853  -0.01
S 0.1166 0.7019 0.5286  -0.01
S 0.4147 0.1166 0.5881  -0.01
Mn 0.6250 0.7500 0.8750  -3.64
Gd 0.7500 0.3750 0.1250  -6.96
Mn 0.8750 0.2500 0.6250  -3.64
S 0.2019 0.6733 0.0853  -0.01
S 0.7019 0.5853 0.1733  -0.01
S 0.3267 0.5286 0.4119  -0.01
S 0.5853 0.7019 0.6733  -0.01
Mn 0.5000 0.5000 0.5000  2.49
Gd 0.7500 0.8750 0.6250  -6.96
Gd 0.6250 0.3750 0.7500  -6.96
S 0.3834 0.9714 0.7981  -0.01
S 0.0286 0.4119 0.8267  -0.01
S 0.2019 0.5286 0.6166  -0.01
S 0.9119 0.0853 0.8834  -0.01
S 0.6733 0.2019 0.5853  -0.01
Mn 0.3750 0.2500 0.1250  -3.64
S 0.0881 0.9147 0.1166  -0.01
S 0.0853 0.9119 0.3834  -0.01
S 0.4119 0.3834 0.5853  -0.01
S 0.4119 0.0286 0.3267  -0.01
S 0.5881 0.9714 0.6733  -0.01
Mn 0.7500 0.6250 0.3750  -3.64
Mn 0.2500 0.8750 0.1250  -3.64
S 0.1166 0.4147 0.0881  -0.01
Mn 0.5000 0.5000 0.0000  2.49
S 0.0286 0.6166 0.7019  -0.01
S 0.0853 0.1733 0.2019  -0.01
Gd 0.3750 0.7500 0.6250  -6.96
S 0.7019 0.1166 0.0286  -0.01
S 0.3267 0.7981 0.4147  -0.01
Mn 0.7500 0.1250 0.8750  -3.64
Mn 0.5000 0.0000 0.5000  2.49
Gd 0.2500 0.1250 0.3750  -6.96
Mn 0.0000 0.5000 0.0000  2.49
S 0.0881 0.1733 0.4714  -0.01
Mn 0.0000 0.0000 0.0000  2.49
Mn 0.2500 0.3750 0.6250  -3.64
S 0.7981 0.3267 0.9147  -0.01
Mn 0.6250 0.8750 0.2500  -3.64
Mn 0.3750 0.1250 0.7500  -3.64
S 0.8267 0.9119 0.0286  -0.01
S 0.7981 0.4714 0.3834  -0.01
S 0.4714 0.7981 0.8834  -0.01
S 0.2981 0.8834 0.9714  -0.01
S 0.8834 0.5853 0.9119  -0.01
S 0.1733 0.0881 0.9714  -0.01
Mn 0.1250 0.3750 0.2500  -3.64
S 0.5286 0.3267 0.9119  -0.01
Gd 0.1250 0.2500 0.8750  -6.96
S 0.9714 0.3834 0.2981  -0.01
Mn 0.8750 0.6250 0.7500  -3.64
S 0.9119 0.8267 0.5286  -0.01
S 0.6166 0.0286 0.2019  -0.01
Gd 0.6250 0.2500 0.3750  -6.96
S 0.4147 0.2981 0.3267  -0.01
S 0.6166 0.5881 0.9147  -0.01
S 0.4714 0.6733 0.0881  -0.01
Gd 0.8750 0.1250 0.2500  -6.96
S 0.8267 0.9147 0.2981  -0.01
Mn 0.1250 0.7500 0.3750  -3.64
Gd 0.8750 0.7500 0.1250  -6.96
S 0.2981 0.4147 0.8267  -0.01
Gd 0.3750 0.6250 0.2500  -6.96
Gd 0.2500 0.6250 0.8750  -6.96

---

## CaFe2Ag (GGA-PBE)

Data for CaFe2Ag after structural relaxation.

Properties
**Theoretical density**: 5.4 g/cm³
**Energy relative to the elements**: 1.66 eV/f.u.

Lattice parameters (Å, degrees): 4.8396 4.8396 5.1116 71.09 71.09 45.87
Site moments in Bohr magnetons follow the coordinates.
Fractional positions:
Ca 0.2500 0.2500 0.2500  -0.04
Fe 0.4755 0.4755 0.6359  2.54
Fe 0.0245 0.0245 0.8641  2.54
Ag 0.7500 0.7500 0.7500  0.02

---

## La2PuHO6 (GGA-PBE)

Data for La2PuHO6 after structural relaxation.

Properties
**Final energy**: -8.3105 eV/atom
**Theoretical density**: 7.0 g/cm³

Lattice parameters (Å, degrees): 6.3526 7.5407 6.7730 90.00 64.43 90.00
Site moments in Bohr magnetons follow the coordinates.
Fractional positions:
Pu 0.5000 0.0000 0.5000  1.43
O 0.6138 0.2026 0.5923  -0.07
O 0.7688 0.8627 0.5638  -0.04
O 0.7312 0.3627 0.9362  -0.04
La 0.8625 0.0622 0.8034  -0.01
O 0.3862 0.7974 0.4077  -0.07
Pu 0.0000 0.5000 0.0000  1.43
O 0.2312 0.1373 0.4362  -0.04
O 0.8862 0.7026 0.9077  -0.07
O 0.7640 0.0253 0.2007  -0.07
H 0.5000 0.0000 0.0000  -0.02
O 0.2360 0.9747 0.7993  -0.07
O 0.1138 0.2974 0.0923  -0.07
La 0.3625 0.4378 0.3034  -0.01
O 0.2640 0.4747 0.7007  -0.07
La 0.6375 0.5622 0.6966  -0.01
O 0.7360 0.5253 0.2993  -0.07
O 0.2688 0.6373 0.0638  -0.04
H 0.0000 0.5000 0.5000  -0.02
La 0.1375 0.9378 0.1966  -0.01